1.
The following is a PBE-GGA calculation of a relaxed Ca2GePt crystal, from the Alexandria database.

Calculated values
The symmetry is Amm2 (38). As for the total energy: -4.46 eV/atom.

a b c (Å): 4.377 5.583 5.583
angles (deg): 47.65 90.00 90.00
Fractional positions:
Ca  0.000  0.000  0.000
Ca  0.500  0.288  0.288
Ge  0.500  0.590  0.590
Pt  0.000  0.705  0.705


2.
The following is a PBE-GGA calculation of a relaxed CaGe4Pt2 crystal, from the Alexandria database.

Calculated values
The symmetry is Pnma (62). As for the total energy: -5.22 eV/atom.

a b c (Å): 17.266 4.343 6.932
angles (deg): 90.00 90.00 90.00
Fractional positions:
Ca  0.144  0.250  0.022
Ca  0.356  0.750  0.522
Ca  0.644  0.250  0.478
Ca  0.856  0.750  0.978
Ge  0.039  0.750  0.866
Ge  0.064  0.250  0.467
Ge  0.180  0.750  0.330
Ge  0.192  0.750  0.743
Ge  0.308  0.250  0.243
Ge  0.320  0.250  0.830
Ge  0.436  0.750  0.967
Ge  0.461  0.250  0.366
Ge  0.539  0.750  0.634
Ge  0.564  0.250  0.033
Ge  0.680  0.750  0.170
Ge  0.692  0.750  0.757
Ge  0.808  0.250  0.257
Ge  0.820  0.250  0.670
Ge  0.936  0.750  0.533
Ge  0.961  0.250  0.134
Pt  0.029  0.750  0.241
Pt  0.212  0.250  0.545
Pt  0.288  0.750  0.045
Pt  0.471  0.250  0.741
Pt  0.529  0.750  0.259
Pt  0.712  0.250  0.955
Pt  0.788  0.750  0.455
Pt  0.971  0.250  0.759


3.
The following is a PBE-GGA calculation of a relaxed Ca3Ge4Pt7 crystal, from the Alexandria database.

Calculated values
The symmetry is C2/m (12). As for the total energy: -5.57 eV/atom.

a b c (Å): 8.293 8.293 9.251
angles (deg): 122.77 122.77 29.36
Fractional positions:
Ca  0.000  0.000  0.000
Ca  0.330  0.330  0.343
Ca  0.670  0.670  0.657
Ge  0.121  0.121  0.843
Ge  0.321  0.321  0.690
Ge  0.679  0.679  0.310
Ge  0.879  0.879  0.157
Pt  0.000  0.000  0.500
Pt  0.134  0.134  0.392
Pt  0.302  0.302  0.941
Pt  0.493  0.493  0.263
Pt  0.507  0.507  0.737
Pt  0.698  0.698  0.059
Pt  0.866  0.866  0.608


4.
The following is a PBE-GGA calculation of a relaxed CaGePt4 crystal, from the Alexandria database.

Calculated values
The energy above the most stable polymorph in this dataset is 0.00 kJ per mole of atoms. The symmetry is Pmma (51).

a b c (Å): 7.551 4.061 6.956
angles (deg): 90.00 90.00 90.00
Fractional positions:
Ca  0.250  0.000  0.140
Ca  0.750  0.000  0.860
Ge  0.250  0.000  0.729
Ge  0.750  0.000  0.271
Pt  0.000  0.000  0.500
Pt  0.053  0.500  0.805
Pt  0.250  0.500  0.444
Pt  0.447  0.500  0.805
Pt  0.500  0.000  0.500
Pt  0.553  0.500  0.195
Pt  0.750  0.500  0.556
Pt  0.947  0.500  0.195


5.
The following is a PBE-GGA calculation of a relaxed Ca4GePt3 crystal, from the Alexandria database.

Calculated values
The symmetry is Pmm2 (25). As for the total energy: -4.69 eV/atom.

a b c (Å): 4.099 4.409 10.730
angles (deg): 90.00 90.00 90.00
Fractional positions:
Ca  0.000  0.000  0.000
Ca  0.000  0.500  0.271
Ca  0.500  0.000  0.480
Ca  0.500  0.500  0.781
Ge  0.000  0.000  0.689
Pt  0.000  0.500  0.580
Pt  0.500  0.000  0.211
Pt  0.500  0.500  0.054


6.
The following is a PBE-GGA calculation of a relaxed Ca2Ge3Pt2 crystal, from the Alexandria database.

Calculated values
The energy above the most stable polymorph in this dataset is 0.00 kJ per mole of atoms. The symmetry is Cmcm (63).

a b c (Å): 9.280 9.280 7.207
angles (deg): 90.00 90.00 153.23
Fractional positions:
Ca  0.062  0.938  0.750
Ca  0.156  0.844  0.250
Ca  0.844  0.156  0.750
Ca  0.938  0.062  0.250
Ge  0.230  0.770  0.750
Ge  0.439  0.561  0.575
Ge  0.439  0.561  0.925
Ge  0.561  0.439  0.075
Ge  0.561  0.439  0.425
Ge  0.770  0.230  0.250
Pt  0.309  0.691  0.051
Pt  0.309  0.691  0.449
Pt  0.691  0.309  0.551
Pt  0.691  0.309  0.949


7.
The following is a PBE-GGA calculation of a relaxed CaGePt4 crystal, from the Alexandria database.

Calculated values
The energy above the most stable polymorph in this dataset is 8.45 kJ per mole of atoms. The symmetry is F-43m (216).

a b c (Å): 5.384 5.384 5.384
angles (deg): 60.00 60.00 60.00
Fractional positions:
Ca  0.000  0.000  0.000
Ge  0.250  0.250  0.250
Pt  0.126  0.625  0.625
Pt  0.625  0.126  0.625
Pt  0.625  0.625  0.126
Pt  0.625  0.625  0.625


8.
The following is a PBE-GGA calculation of a relaxed Ca2Ge3Pt6 crystal, from the Alexandria database.

Calculated values
The symmetry is P-62m (189). As for the total energy: -5.63 eV/atom.

a b c (Å): 7.454 7.454 4.309
angles (deg): 90.00 90.00 120.00
Fractional positions:
Ca  0.333  0.667  0.000
Ca  0.667  0.333  0.000
Ge  0.000  0.621  0.500
Ge  0.379  0.379  0.500
Ge  0.621  0.000  0.500
Pt  0.000  0.295  0.500
Pt  0.000  0.785  0.000
Pt  0.215  0.215  0.000
Pt  0.295  0.000  0.500
Pt  0.705  0.705  0.500
Pt  0.785  0.000  0.000


9.
The following is a PBE-GGA calculation of a relaxed Ca3Ge2Pt3 crystal, from the Alexandria database.

Calculated values
The symmetry is Pnma (62). As for the total energy: -5.11 eV/atom.

a b c (Å): 7.835 15.117 5.850
angles (deg): 90.00 90.00 90.00
Fractional positions:
Ca  0.020  0.107  0.135
Ca  0.020  0.393  0.135
Ca  0.164  0.250  0.591
Ca  0.336  0.750  0.091
Ca  0.480  0.607  0.635
Ca  0.480  0.893  0.635
Ca  0.520  0.107  0.365
Ca  0.520  0.393  0.365
Ca  0.664  0.250  0.909
Ca  0.836  0.750  0.409
Ca  0.980  0.607  0.865
Ca  0.980  0.893  0.865
Ge  0.136  0.604  0.376
Ge  0.136  0.896  0.376
Ge  0.364  0.104  0.876
Ge  0.364  0.396  0.876
Ge  0.636  0.604  0.124
Ge  0.636  0.896  0.124
Ge  0.864  0.104  0.624
Ge  0.864  0.396  0.624
Pt  0.159  0.040  0.603
Pt  0.159  0.460  0.603
Pt  0.191  0.750  0.578
Pt  0.309  0.250  0.078
Pt  0.341  0.540  0.103
Pt  0.341  0.960  0.103
Pt  0.659  0.040  0.897
Pt  0.659  0.460  0.897
Pt  0.691  0.750  0.922
Pt  0.809  0.250  0.422
Pt  0.841  0.540  0.397
Pt  0.841  0.960  0.397


10.
The following is a PBE-GGA calculation of a relaxed Ca2GePt crystal, from the Alexandria database.

Calculated values
The symmetry is I-42d (122). As for the total energy: -4.01 eV/atom.

a b c (Å): 6.442 6.442 6.442
angles (deg): 104.18 104.18 120.67
Fractional positions:
Ca  0.101  0.625  0.976
Ca  0.375  0.351  0.476
Ca  0.649  0.125  0.024
Ca  0.875  0.899  0.524
Ge  0.250  0.750  0.500
Ge  0.500  0.500  0.000
Pt  0.000  0.000  0.000
Pt  0.750  0.250  0.500


11.
The following is a PBE-GGA calculation of a relaxed Ca2Ge3Pt crystal, from the Alexandria database.

Calculated values
The symmetry is Cm (8). As for the total energy: -4.66 eV/atom.

a b c (Å): 5.646 5.646 7.314
angles (deg): 128.72 128.72 47.69
Fractional positions:
Ca  0.000  0.000  0.000
Ca  0.107  0.107  0.613
Ge  0.386  0.386  0.216
Ge  0.696  0.696  0.998
Ge  0.721  0.721  0.398
Pt  0.383  0.383  0.578


12.
The following is a PBE-GGA calculation of a relaxed CaGePt3 crystal, from the Alexandria database.

Calculated values
The energy above the most stable polymorph in this dataset is 7.77 kJ per mole of atoms. The symmetry is Imma (74).

a b c (Å): 6.666 6.666 6.666
angles (deg): 130.90 98.14 101.75
Fractional positions:
Ca  0.284  0.034  0.250
Ca  0.716  0.966  0.750
Ge  0.000  0.500  0.500
Ge  0.500  0.500  0.000
Pt  0.109  0.359  0.750
Pt  0.249  0.000  0.749
Pt  0.249  0.500  0.249
Pt  0.751  0.000  0.251
Pt  0.751  0.500  0.751
Pt  0.891  0.641  0.250


13.
The following is a PBE-GGA calculation of a relaxed Ca3Ge8Pt3 crystal, from the Alexandria database.

Calculated values
The symmetry is C2/m (12). As for the total energy: -4.89 eV/atom.

a b c (Å): 8.121 8.121 9.198
angles (deg): 124.09 124.09 33.70
Fractional positions:
Ca  0.000  0.000  0.000
Ca  0.292  0.292  0.282
Ca  0.708  0.708  0.718
Ge  0.142  0.142  0.427
Ge  0.148  0.148  0.867
Ge  0.342  0.342  0.720
Ge  0.494  0.494  0.667
Ge  0.506  0.506  0.333
Ge  0.658  0.658  0.280
Ge  0.852  0.852  0.133
Ge  0.858  0.858  0.573
Pt  0.000  0.000  0.500
Pt  0.352  0.352  0.004
Pt  0.648  0.648  0.996


14.
The following is a PBE-GGA calculation of a relaxed CaGe2Pt crystal, from the Alexandria database.

Calculated values
The symmetry is R-3m (166). As for the total energy: -4.99 eV/atom.

a b c (Å): 5.841 5.841 5.841
angles (deg): 42.47 42.47 42.47
Fractional positions:
Ca  0.000  0.000  0.000
Ge  0.220  0.220  0.220
Ge  0.780  0.780  0.780
Pt  0.500  0.500  0.500


15.
The following is a PBE-GGA calculation of a relaxed Ca3Ge3Pt crystal, from the Alexandria database.

Calculated values
The symmetry is Cmcm (63). As for the total energy: -4.44 eV/atom.

a b c (Å): 5.809 5.809 13.723
angles (deg): 90.00 90.00 136.85
Fractional positions:
Ca  0.002  0.998  0.750
Ca  0.283  0.717  0.101
Ca  0.283  0.717  0.399
Ca  0.717  0.283  0.601
Ca  0.717  0.283  0.899
Ca  0.998  0.002  0.250
Ge  0.290  0.710  0.750
Ge  0.432  0.568  0.594
Ge  0.432  0.568  0.906
Ge  0.568  0.432  0.094
Ge  0.568  0.432  0.406
Ge  0.710  0.290  0.250
Pt  0.000  0.000  0.000
Pt  0.000  0.000  0.500


16.
The following is a PBE-GGA calculation of a relaxed Ca2Ge4Pt5 crystal, from the Alexandria database.

Calculated values
The symmetry is Fmmm (69). As for the total energy: -5.47 eV/atom.

a b c (Å): 9.228 8.249 5.714
angles (deg): 80.51 61.84 37.64
Fractional positions:
Ca  0.126  0.126  0.874
Ca  0.874  0.874  0.126
Ge  0.213  0.531  0.469
Ge  0.469  0.787  0.213
Ge  0.531  0.213  0.787
Ge  0.787  0.469  0.531
Pt  0.000  0.000  0.500
Pt  0.250  0.250  0.250
Pt  0.500  0.500  0.000
Pt  0.500  0.500  0.500
Pt  0.750  0.750  0.750


17.
The following is a PBE-GGA calculation of a relaxed Ca3Ge3Pt2 crystal, from the Alexandria database.

Calculated values
The energy above the most stable polymorph in this dataset is 5.53 kJ per mole of atoms. The symmetry is Pnma (62).

a b c (Å): 8.291 14.703 5.763
angles (deg): 90.00 90.00 90.00
Fractional positions:
Ca  0.048  0.112  0.123
Ca  0.048  0.388  0.123
Ca  0.194  0.250  0.618
Ca  0.306  0.750  0.118
Ca  0.452  0.612  0.623
Ca  0.452  0.888  0.623
Ca  0.548  0.112  0.377
Ca  0.548  0.388  0.377
Ca  0.694  0.250  0.882
Ca  0.806  0.750  0.382
Ca  0.952  0.612  0.877
Ca  0.952  0.888  0.877
Ge  0.153  0.750  0.604
Ge  0.186  0.039  0.626
Ge  0.186  0.461  0.626
Ge  0.314  0.539  0.126
Ge  0.314  0.961  0.126
Ge  0.347  0.250  0.104
Ge  0.653  0.750  0.896
Ge  0.686  0.039  0.874
Ge  0.686  0.461  0.874
Ge  0.814  0.539  0.374
Ge  0.814  0.961  0.374
Ge  0.847  0.250  0.396
Pt  0.093  0.602  0.377
Pt  0.093  0.898  0.377
Pt  0.407  0.102  0.877
Pt  0.407  0.398  0.877
Pt  0.593  0.602  0.123
Pt  0.593  0.898  0.123
Pt  0.907  0.102  0.623
Pt  0.907  0.398  0.623


18.
The following is a PBE-GGA calculation of a relaxed CaGePt3 crystal, from the Alexandria database.

Calculated values
The energy above the most stable polymorph in this dataset is 184.51 kJ per mole of atoms. The symmetry is Pm-3m (221).

a b c (Å): 4.981 4.981 4.981
angles (deg): 90.00 90.00 90.00
Fractional positions:
Ca  0.000  0.000  0.000
Ge  0.500  0.500  0.500
Pt  0.000  0.000  0.500
Pt  0.000  0.500  0.000
Pt  0.500  0.000  0.000


19.
The following is a PBE-GGA calculation of a relaxed CaGe3Pt crystal, from the Alexandria database.

Calculated values
The symmetry is Pm-3m (221). As for the total energy: -2.99 eV/atom.

a b c (Å): 5.179 5.179 5.179
angles (deg): 90.00 90.00 90.00
Fractional positions:
Ca  0.000  0.000  0.000
Ge  0.000  0.000  0.500
Ge  0.000  0.500  0.000
Ge  0.500  0.000  0.000
Pt  0.500  0.500  0.500


20.
The following is a PBE-GGA calculation of a relaxed Ca2Ge2Pt crystal, from the Alexandria database.

Calculated values
The symmetry is I4/mmm (139). As for the total energy: -3.71 eV/atom.

a b c (Å): 6.659 6.659 6.659
angles (deg): 139.71 139.71 58.29
Fractional positions:
Ca  0.250  0.750  0.500
Ca  0.750  0.250  0.500
Ge  0.096  0.096  0.000
Ge  0.904  0.904  0.000
Pt  0.500  0.500  0.000